! RbNaFe2I8 GGA-PBE relaxed; values from VASP
! Total energy ... -3.211 eV/atom
! Space group ... P-3 (147)
&SYSTEM
  ibrav = 0, nat = 12, ntyp = 4
/
ATOMIC_SPECIES
I 126.90 I.upf
Fe 55.84 Fe.upf
Rb 85.47 Rb.upf
Na 22.99 Na.upf
CELL_PARAMETERS angstrom
-2.632 -4.157 -5.642
6.517 3.611 -0.733
5.311 -8.775 3.988
ATOMIC_POSITIONS angstrom
I 5.846 -4.824 2.442
I 3.350 -4.497 -4.829
I 8.726 -7.668 1.579
Fe 7.494 -5.632 0.654
I 2.938 -2.968 -0.917
I 6.257 -6.353 -1.470
I 9.233 -3.825 0.131
Rb 0.000 0.000 0.000
I 0.470 -1.654 -3.967
Fe 1.702 -3.689 -3.042
I -0.037 -5.497 -2.518
Na 2.655 -4.387 1.994